(1)
The following is a PBE calculation of crystalline BiRuSe2 at its relaxed geometry, from the Alexandria database.

The structure in CIF format:
```
data_BiRuSe2
_chemical_formula_sum 'Bi3 Ru3 Se6'
_cell_length_a 3.2228
_cell_length_b 3.2228
_cell_length_c 29.8460
_cell_angle_alpha 90.00
_cell_angle_beta 90.00
_cell_angle_gamma 120.00
_symmetry_space_group_name_H-M 'R -3 m'
_symmetry_Int_Tables_number 166
_symmetry_space_group_name_Hall '-R 3 2"'
loop_
_atom_site_label
_atom_site_type_symbol
_atom_site_fract_x
_atom_site_fract_y
_atom_site_fract_z
Bi1 Bi 0.0000 0.0000 0.0000
Ru1 Ru 0.0000 0.0000 0.5000
Se1 Se 0.0000 0.0000 0.4216
```

Raw total energy (eV/atom): -4.4916
Formation energy (no corrections) (eV/atom): 0.5399
Size of the total moment (μB per formula unit): 0.00

(2)
The following is a PBE calculation of crystalline CeAgPt at its relaxed geometry, from the Alexandria database.

The structure in CIF format:
```
data_CeAgPt
_chemical_formula_sum 'Ce4 Ag4 Pt4'
_cell_length_a 5.275
_cell_length_b 8.677
_cell_length_c 5.679
_cell_angle_alpha 90.00
_cell_angle_beta 90.00
_cell_angle_gamma 90.00
_symmetry_space_group_name_H-M 'C m c m'
_symmetry_Int_Tables_number 63
_symmetry_space_group_name_Hall '-C 2c 2'
loop_
_atom_site_label
_atom_site_type_symbol
_atom_site_fract_x
_atom_site_fract_y
_atom_site_fract_z
Ce1 Ce 0.000 0.162 0.250
Ag1 Ag 0.000 0.500 0.000
Pt1 Pt 0.000 0.181 0.750
```

Energy of formation from the pure elements (kcal/mol of atoms): -16.1
Raw total energy (eV/atom): -5.6422
Size of the total moment (μB per formula unit): 0.49

(3)
The following is a PBE calculation of crystalline PrDy2Ga2Cu2 at its relaxed geometry, from the Alexandria database.

The structure in CIF format:
```
data_PrDy2Ga2Cu2
_chemical_formula_sum 'Pr3 Dy6 Ga6 Cu6'
_cell_length_a 4.4399
_cell_length_b 4.4399
_cell_length_c 27.5629
_cell_angle_alpha 90.00
_cell_angle_beta 90.00
_cell_angle_gamma 120.00
_symmetry_space_group_name_H-M 'R -3 m'
_symmetry_Int_Tables_number 166
_symmetry_space_group_name_Hall '-R 3 2"'
loop_
_atom_site_label
_atom_site_type_symbol
_atom_site_fract_x
_atom_site_fract_y
_atom_site_fract_z
Pr1 Pr 0.0000 0.0000 0.0000
Dy1 Dy 0.0000 0.0000 0.1256
Ga1 Ga 0.0000 0.0000 0.2586
Cu1 Cu 0.0000 0.0000 0.4054
```

Energy of formation from the pure elements (kcal/mol of atoms): -8.9
Raw total energy (eV/atom): -4.4171
Size of the total moment (μB per formula unit): 0.00

(4)
The following is a PBE calculation of crystalline Ho2FeOs at its relaxed geometry, from the Alexandria database.

The structure in CIF format:
```
data_Ho2FeOs
_chemical_formula_sum 'Ho6 Fe3 Os3'
_cell_length_a 3.2124
_cell_length_b 3.2124
_cell_length_c 28.8923
_cell_angle_alpha 90.00
_cell_angle_beta 90.00
_cell_angle_gamma 120.00
_symmetry_space_group_name_H-M 'R -3 m'
_symmetry_Int_Tables_number 166
_symmetry_space_group_name_Hall '-R 3 2"'
loop_
_atom_site_label
_atom_site_type_symbol
_atom_site_fract_x
_atom_site_fract_y
_atom_site_fract_z
Ho1 Ho 0.0000 0.0000 0.0930
Fe1 Fe 0.0000 0.0000 0.0000
Os1 Os 0.0000 0.0000 0.5000
```

Energy of formation from the pure elements (kcal/mol of atoms): 14.2
Raw total energy (eV/atom): -6.5983
Size of the total moment (μB per formula unit): 1.98

| no. | DOS(E_F) (states/eV per cell) |
| --- | --- |
| 1 | 11.0 |
| 2 | 21.9 |
| 3 | 14.9 |
| 4 | 7.7 |